w:
The following is a SCAN calculation of a PBEsol-optimized structure of Ta2CdTe, from the Alexandria database.

Cell: 3.4322 4.7658 5.5730 Å, 115.31 107.93 90.00°
Closest atoms and distances in Å follow each position.
Element x y z (fractional)
Cd (0.7483, 0.2483, 0.4965)  8 Ta 2.94-3.26, 4 Te 3.06-3.25
Te (0.5157, 0.5157, 0.0315)  6 Ta 2.82-2.95, 2 Cd 3.06
Ta (0.9839, 0.9839, 0.9678)  2 Ta 2.79, 4 Te 2.95, 2 Cd 3.04
Ta (0.2521, 0.7521, 0.5042)  2 Ta 2.79, 2 Te 2.82, 4 Cd 2.94

Values from the calculation:
SG	No. 44
theoretical density	12.90	g cm⁻³


x:
The following is a SCAN calculation of a PBEsol-optimized structure of Ta2CdTe, from the Alexandria database.

Cell: 3.3004 4.9992 5.0539 Å, 98.16 109.06 90.00°
Closest atoms and distances in Å follow each position.
Element x y z (fractional)
Cd (0.5000, 0.0000, 0.0000)  6 Ta 2.85-2.99, 4 Te 3.00
Te (0.0000, 0.5000, 0.0000)  6 Ta 2.87-3.04, 4 Cd 3.00
Ta (0.2487, 0.2415, 0.4973)  3 Cd 2.85-2.99, 3 Te 2.87-3.04, 4 Ta 2.93-3.06
Ta (0.7513, 0.7585, 0.5027)  3 Cd 2.85-2.99, 3 Te 2.87-3.04, 4 Ta 2.93-3.06

Values from the calculation:
SG	No. 12
theoretical density	12.83	g cm⁻³


It turns out w is the most stable, with the second structure 2.6 kJ/mol of atoms higher.